The following is a DFT calculation (PBE) of crystalline Nd3CdAgHg2Pt2 at its relaxed geometry.

a b c (Å): 3.925 7.944 7.944
angles (deg): 120.41 90.00 90.00
Positions (direct):
Hg (0.500, 0.998, 0.262)
Nd (0.000, 0.407, 0.407)
Nd (0.000, 0.587, 0.003)
Pt (0.500, 0.341, 0.668)
Pt (0.500, 0.668, 0.341)
Nd (0.000, 0.003, 0.587)
Ag (0.000, 0.995, 0.995)
Cd (0.500, 0.739, 0.739)
Hg (0.500, 0.262, 0.998)

Calculated values
space-group type	Amm2
E_form	-0.719	eV/atom



The following is a DFT calculation (PBE) of crystalline NdTm2Cd3AgHg2 at its relaxed geometry.

a b c (Å): 4.091 7.860 7.860
angles (deg): 120.49 90.00 90.00
Positions (direct):
Nd (0.000, 0.408, 0.408)
Cd (0.500, 0.746, 0.746)
Ag (0.000, 0.994, 0.994)
Hg (0.500, 0.330, 0.674)
Hg (0.500, 0.674, 0.330)
Cd (0.500, 0.252, 0.000)
Cd (0.500, 0.000, 0.252)
Tm (0.000, 0.001, 0.595)
Tm (0.000, 0.595, 0.001)

Calculated values
space-group type	Amm2
E_form	-0.378	eV/atom



The following is a DFT calculation (PBE) of crystalline Pr3Cd2Ag2HgPd at its relaxed geometry.

a b c (Å): 4.055 7.943 7.943
angles (deg): 119.70 90.00 90.00
Positions (direct):
Hg (0.500, 0.741, 0.741)
Pr (0.000, 0.607, 0.995)
Pr (0.000, 0.995, 0.607)
Pr (0.000, 0.401, 0.401)
Ag (0.500, 0.326, 0.666)
Pd (0.000, 0.005, 0.005)
Ag (0.500, 0.666, 0.326)
Cd (0.500, 0.255, 0.003)
Cd (0.500, 0.003, 0.255)

Calculated values
space-group type	Amm2
E_form	-0.434	eV/atom



The following is a DFT calculation (PBE) of crystalline PmCdAgHg at its relaxed geometry.

a b c (Å): 5.084 5.084 5.084
angles (deg): 60.00 60.00 60.00
Positions (direct):
Ag (0.750, 0.750, 0.750)
Pm (0.500, 0.500, 0.500)
Hg (0.250, 0.250, 0.250)
Cd (0.000, 0.000, 0.000)

Calculated values
space-group type	F-43m
E_form	-0.372	eV/atom



The following is a DFT calculation (PBE) of crystalline Pr3CdAgHg2Pt2 at its relaxed geometry.

a b c (Å): 3.946 7.986 7.986
angles (deg): 120.46 90.00 90.00
Positions (direct):
Pt (0.000, 0.669, 0.342)
Cd (0.000, 0.737, 0.737)
Pr (0.500, 0.406, 0.406)
Pt (0.000, 0.342, 0.669)
Pr (0.500, 0.004, 0.589)
Hg (0.000, 0.262, 0.998)
Pr (0.500, 0.589, 0.004)
Hg (0.000, 0.998, 0.262)
Ag (0.500, 0.994, 0.994)

Calculated values
space-group type	Amm2
E_form	-0.712	eV/atom



The following is a DFT calculation (PBE) of crystalline PrY2Cd3AgHg2 at its relaxed geometry.

a b c (Å): 4.128 7.908 7.908
angles (deg): 120.35 90.00 90.00
Positions (direct):
Cd (0.500, 0.748, 0.748)
Y (0.000, 0.595, 0.001)
Cd (0.500, 0.999, 0.251)
Cd (0.500, 0.251, 0.999)
Y (0.000, 0.001, 0.595)
Hg (0.500, 0.672, 0.331)
Ag (0.000, 0.996, 0.996)
Pr (0.000, 0.408, 0.408)
Hg (0.500, 0.331, 0.672)

Calculated values
space-group type	Amm2
E_form	-0.408	eV/atom



The following is a DFT calculation (PBE) of crystalline Sc2Cd4AgHg at its relaxed geometry.

a b c (Å): 4.898 4.898 6.869
angles (deg): 90.00 90.00 90.00
Positions (direct):
Cd (0.000, 0.000, 0.500)
Cd (0.000, 0.500, 0.757)
Cd (0.500, 0.500, 0.000)
Sc (0.000, 0.500, 0.247)
Cd (0.500, 0.000, 0.243)
Ag (0.000, 0.000, 0.000)
Sc (0.500, 0.000, 0.753)
Hg (0.500, 0.500, 0.500)

Calculated values
space-group type	P-4m2
E_form	-0.246	eV/atom



The following is a DFT calculation (PBE) of crystalline Ho3Cd3InAg2 at its relaxed geometry.

a b c (Å): 7.682 7.682 4.189
angles (deg): 90.00 90.00 120.00
Positions (direct):
Cd (0.739, 0.000, 0.500)
Ho (0.420, 0.000, 0.000)
In (0.000, 0.000, 0.000)
Cd (0.261, 0.261, 0.500)
Ho (0.580, 0.580, 0.000)
Cd (0.000, 0.739, 0.500)
Ag (0.333, 0.667, 0.500)
Ho (0.000, 0.420, 0.000)
Ag (0.667, 0.333, 0.500)

Calculated values
final energy	-0.22641	Ry per atom
space-group type	P-62m